Below is crystalline Cu3MoCl2F6 at its relaxed geometry, with properties calculated at the PBE+U level.

Lattice parameters (Å, degrees): 12.6321 6.3803 4.8879 90.00 96.09 90.00
With the nearest neighbours (Å) after each atom.
Space group C2/m (No. 12)
Inequivalent atoms, fractional coordinates:
Cu 0.0000 0.0000 0.0000 [2 per cell]  4 F 2.31, 2 Cl 2.32
Cu 0.2500 0.2500 0.5000 [4 per cell]  2 F 2.18, 2 Cl 2.25
Mo 0.0000 0.5000 0.5000 [2 per cell]  6 F 1.98-2.08
Cl 0.1712 0.0000 0.2247 [4 per cell]  3 Cu 2.25-2.32
F 0.0595 0.2766 0.7522 [8 per cell]  1 Mo 1.98
F 0.1446 0.5000 0.3337 [4 per cell]  1 Mo 2.08, 2 Cu 2.18

Results
Final energy in eV/atom: -4.394